Material: La3InSn3
Method: DFT, PBE-GGA
State: optimized geometry

Structure (extended XYZ):
```
14
Lattice="-4.5498 0.2796 -4.7131 -1.3622 -9.4046 0.7572 -5.1454 6.0053 5.3233" Properties=species:S:1:pos:R:3 pbc="T T T"
La -7.5807 -2.4784 0.3297
La -4.2210 -2.9338 -2.9407
La -6.3051 -6.7628 -1.1558
La -3.4767 -0.6414 1.0377
La -6.8364 -0.1859 4.3080
La -4.7523 3.6431 2.5232
In -3.7607 -4.1981 1.1009
In -7.2967 1.0784 0.2664
Sn -5.4355 -2.6214 2.8112
Sn -1.8787 -2.9161 -0.6398
Sn -3.9680 -7.0567 1.1315
Sn -5.6219 -0.4983 -1.4438
Sn -9.1787 -0.2036 2.0072
Sn -7.0894 3.9370 0.2359
```

Summary:
**E_form**: -0.508 eV/atom
**Polymorph energy (0 for the lowest one)**: 199.8 meV/atom

Material: Ba2ZrTa3O12
Method: DFT, PBE-GGA
State: optimized geometry

Structure (extended XYZ):
```
18
Lattice="-4.9530 -5.7161 0.0804 -1.4810 -3.8086 -6.3650 2.4293 -7.1186 -0.7981" Properties=species:S:1:pos:R:3 pbc="T T T"
Ba -2.7265 -11.3312 -4.8221
Ba -1.2782 -5.3122 -2.2606
Zr 0.0000 0.0000 0.0000
Ta -2.4765 -2.8581 0.0402
Ta -0.7405 -1.9043 -3.1825
Ta 1.2147 -3.5593 -0.3990
O 0.3079 -9.6727 -2.6967
O -5.1403 -11.1874 -6.0798
O -0.7766 -12.0164 -6.5991
O -4.3889 -8.7804 -2.1378
O -2.8289 -13.1439 -2.7892
O -2.1799 -7.5668 -6.2385
O -4.3126 -6.9707 -4.3860
O 1.1356 -5.4559 -1.0029
O -3.2280 -4.6270 -0.4836
O 0.3842 -7.8629 -4.9449
O -1.1757 -3.4994 -4.2935
O -1.8248 -9.0765 -0.8442
```

Summary:
**Formation energy without anion corrections**: -2837 meV/atom

Material: LiTi2Pd
Method: DFT, PBE-GGA
State: optimized geometry

Structure (extended XYZ):
```
4
Lattice="0.0000 3.1590 3.1590 3.1590 0.0000 3.1590 3.1590 3.1590 0.0000" Properties=species:S:1:pos:R:3 pbc="T T T"
Li 0.0000 0.0000 0.0000
Pd 3.1590 3.1590 3.1590
Ti 1.5795 1.5795 1.5795
Ti 4.7384 4.7384 4.7384
```

Summary:
**E_form**: -0.086 eV/atom
**Polymorph energy (0 for the lowest one)**: 0.0 meV/atom

Material: Ho8SbPb5
Method: DFT, PBE-GGA
State: optimized geometry

Structure (extended XYZ):
```
14
Lattice="-5.0891 -3.8267 4.9686 -3.4305 0.8211 -7.2655 6.8036 -4.2955 -0.6997" Properties=species:S:1:pos:R:3 pbc="T T T"
Ho -3.0982 0.0712 -4.8255
Ho -0.4017 -6.8265 3.5837
Ho -2.2151 -4.3485 1.7428
Ho 1.4201 -5.8235 -0.3661
Ho -2.9549 -2.3361 -2.1793
Ho -0.2719 -5.4130 -3.9847
Ho 0.3397 -2.4338 -0.7667
Ho 0.3179 -2.0940 -5.1906
Sb 2.1152 -3.7677 -2.9154
Pb -5.5245 -4.0519 2.1564
Pb -5.7548 -3.7063 -2.1820
Pb -1.7105 -5.0396 -1.2546
Pb 0.8572 -4.0611 2.1345
Pb -2.3350 -1.3355 0.9553
```

Summary:
**Formation energy without anion corrections**: -592 meV/atom

Material: Y3TcPt
Method: DFT, PBE-GGA
State: optimized geometry

Structure (extended XYZ):
```
5
Lattice="5.1710 0.0000 0.0000 0.0000 5.1710 0.0000 0.0000 0.0000 5.1710" Properties=species:S:1:pos:R:3 pbc="T T T"
Y 0.0000 2.5855 0.0000
Y 0.0000 0.0000 2.5855
Y 2.5855 0.0000 0.0000
Tc 0.0000 0.0000 0.0000
Pt 2.5855 2.5855 2.5855
```

Summary:
**E_form**: 0.150 eV/atom
**Polymorph energy (0 for the lowest one)**: 0.0 meV/atom

Material: Pu2ZrNiS5
Method: DFT, PBE-GGA
State: optimized geometry

Structure (extended XYZ):
```
18
Lattice="-2.2615 0.2611 2.9405 -5.2639 -0.0159 -6.3986 -0.6209 -11.4515 0.5393" Properties=species:S:1:pos:R:3 pbc="T T T"
Pu -6.6909 -9.4644 -1.9541
Pu -1.9698 -7.9463 -0.8094
Pu -1.5743 -3.9351 -0.8614
Pu -6.1099 -2.0305 -2.1673
Zr -5.5764 -5.7676 -1.4252
Zr -2.2862 -0.2055 -1.7400
Ni -2.4865 -10.4324 1.3655
Ni -5.8755 -4.7506 -4.0970
S -4.3857 -0.1363 -3.3609
S -4.1278 -9.6987 0.0380
S -1.6015 -8.4882 1.8735
S -4.3380 -7.7455 -2.6486
S -7.5901 -5.7218 -2.9779
S -3.4735 -5.7737 0.1927
S -4.1579 -4.0771 -2.8358
S -6.5482 -2.7785 -4.7895
S -3.7245 -1.9149 -0.3430
S -0.2715 -0.2320 -0.1882
```

Summary:
**Formation energy without anion corrections**: -1477 meV/atom